No. 1
This record from Alexandria describes a relaxed structure of Ho4MgCd3. The functional is PBE.

Calculated volume (Å³ per cell): 211.5
Energy of formation (meV/atom): -198
Space-group type: Pmm2
Density of states at the Fermi level (states/eV/f.u.): 8.03
Relative energy among the computed polymorphs (meV per atom): 57

Cell and atoms, written as POSCAR:
```
Ho4MgCd3
1.0
3.490 0.000 0.000
0.000 4.948 0.000
0.000 0.000 12.246
Cd Mg Ho
3 1 4
Direct
0.000 0.500 0.571
0.500 0.000 0.931
0.000 0.000 0.431
0.500 0.500 0.067
0.000 0.000 0.169
0.500 0.000 0.664
0.500 0.500 0.337
0.000 0.500 0.832
```

No. 2
This record from Alexandria describes a relaxed structure of AcCuAsPd. The functional is PBE.

Calculated volume (Å³ per cell): 84.9
Energy of formation (meV/atom): -391
Space-group type: F-43m
Density of states at the Fermi level (states/eV/f.u.): 1.54

Cell and atoms, written as POSCAR:
```
AcCuAsPd
1.0
4.933 0.000 0.000
2.466 4.272 0.000
2.466 1.424 4.028
Pd As Ac Cu
1 1 1 1
Direct
0.000 0.000 0.000
0.250 0.250 0.250
0.750 0.750 0.750
0.500 0.500 0.500
```